1.
## HfTa2 (GGA-PBE)

Data for a relaxed structure of HfTa2.

a = 5.439 Å, b = 5.439 Å, c = 5.439 Å
α = 105.72°, β = 105.72°, γ = 117.26°
Positions (direct):
Hf (0.250, 0.250, 0.000)
Hf (0.750, 0.750, 0.000)
Ta (0.156, 0.656, 0.812)
Ta (0.344, 0.156, 0.500)
Ta (0.656, 0.844, 0.500)
Ta (0.844, 0.344, 0.188)

Output
Size of the total moment   0.01 μB/f.u.
Crystal system   tetragonal
Space-group type   I4/mcm
VASP energy   -10.5020 eV per atom

=====

2.
## HfTa2 (GGA-PBE)

Data for a relaxed structure of HfTa2.

a = 5.566 Å, b = 5.566 Å, c = 17.804 Å
α = 90.00°, β = 90.00°, γ = 120.00°
Positions (direct):
Hf (0.000, 0.000, 0.094)
Hf (0.000, 0.000, 0.406)
Hf (0.000, 0.000, 0.594)
Hf (0.000, 0.000, 0.906)
Hf (0.333, 0.667, 0.156)
Hf (0.333, 0.667, 0.344)
Hf (0.667, 0.333, 0.656)
Hf (0.667, 0.333, 0.844)
Ta (0.000, 0.500, 0.000)
Ta (0.000, 0.500, 0.500)
Ta (0.162, 0.324, 0.750)
Ta (0.162, 0.838, 0.750)
Ta (0.324, 0.162, 0.250)
Ta (0.333, 0.667, 0.626)
Ta (0.333, 0.667, 0.874)
Ta (0.500, 0.000, 0.000)
Ta (0.500, 0.000, 0.500)
Ta (0.500, 0.500, 0.000)
Ta (0.500, 0.500, 0.500)
Ta (0.667, 0.333, 0.126)
Ta (0.667, 0.333, 0.374)
Ta (0.676, 0.838, 0.750)
Ta (0.838, 0.162, 0.250)
Ta (0.838, 0.676, 0.250)

Output
Size of the total moment   0.06 μB/f.u.
Crystal system   hexagonal
Space-group type   P6_3/mmc
VASP energy   -11.1571 eV per atom

=====

3.
## HfTa2 (GGA-PBE)

Data for a relaxed structure of HfTa2.

a = 8.173 Å, b = 8.173 Å, c = 8.173 Å
α = 60.00°, β = 60.00°, γ = 60.00°
Positions (direct):
Hf (0.125, 0.125, 0.125)
Hf (0.875, 0.875, 0.875)
Ta (0.000, 0.000, 0.000)
Ta (0.000, 0.000, 0.500)
Ta (0.000, 0.500, 0.000)
Ta (0.500, 0.000, 0.000)

Output
Size of the total moment   0.13 μB/f.u.
Crystal system   cubic
Space-group type   Fd-3m
VASP energy   -6.9707 eV per atom